# 1
Material: LaYSn2Os
Method: DFT, PBE
State: relaxed

```
data_LaYSn2Os
_chemical_formula_sum 'La1 Y1 Sn2 Os1'
_cell_length_a 5.584
_cell_length_b 5.584
_cell_length_c 4.960
_cell_angle_alpha 90.00
_cell_angle_beta 90.00
_cell_angle_gamma 90.00
_space_group_name_H-M_alt 'P 4/m m m'
_space_group_IT_number 123
_space_group_name_Hall '-P 4 2'
loop_
_atom_site_label
_atom_site_type_symbol
_atom_site_fract_x
_atom_site_fract_y
_atom_site_fract_z
La1 La 0.000 0.000 0.000
Y1 Y 0.500 0.500 0.500
Sn1 Sn 0.000 0.500 0.500
Os1 Os 0.500 0.500 0.000
```

- total magnetization (μB per cell) = 0.000
- DOS(E_F) (states/eV/atom) = 0.83
- calculated total energy (eV per atom) = -5.46
- crystal system = tetragonal
- theoretical density (g/cm3) = 7.04
- calculated volume (Å³/f.u.) = 154.7

# 2
Material: SrLaOs2
Method: DFT, PBE
State: relaxed

```
data_SrLaOs2
_chemical_formula_sum 'Sr2 La2 Os4'
_cell_length_a 7.353
_cell_length_b 4.342
_cell_length_c 8.316
_cell_angle_alpha 90.00
_cell_angle_beta 107.22
_cell_angle_gamma 90.00
_space_group_name_H-M_alt 'C 1 m 1'
_space_group_IT_number 8
loop_
_space_group_symop_operation_xyz
'x,y,z'
'x,-y,z'
'x+1/2,y+1/2,z'
'x+1/2,-y+1/2,z'
loop_
_atom_site_label
_atom_site_type_symbol
_atom_site_fract_x
_atom_site_fract_y
_atom_site_fract_z
Sr1 Sr 0.000 0.000 0.000
La1 La 0.325 0.500 0.478
Os1 Os 0.081 0.500 0.726
Os2 Os 0.231 0.000 0.715
```

- total magnetization (μB per cell) = 1.729
- DOS(E_F) (states/eV/atom) = 0.81
- calculated total energy (eV per atom) = -7.21
- crystal system = monoclinic
- theoretical density (g/cm3) = 7.95
- energy relative to the lowest polymorph listed for this composition (meV per atom) = 0
- calculated volume (Å³/f.u.) = 126.8

# 3
Material: Sr2LaOs
Method: DFT, PBE
State: relaxed

```
data_Sr2LaOs
_chemical_formula_sum 'Sr4 La2 Os2'
_cell_length_a 5.317
_cell_length_b 14.732
_cell_length_c 4.423
_cell_angle_alpha 90.00
_cell_angle_beta 90.00
_cell_angle_gamma 90.00
_space_group_name_H-M_alt 'C m m m'
_space_group_IT_number 65
_space_group_name_Hall '-C 2 2'
loop_
_atom_site_label
_atom_site_type_symbol
_atom_site_fract_x
_atom_site_fract_y
_atom_site_fract_z
Sr1 Sr 0.000 0.141 0.000
La1 La 0.000 0.500 0.500
Os1 Os 0.000 0.000 0.500
```

- total magnetization (μB per cell) = 0.000
- DOS(E_F) (states/eV/atom) = 0.79
- calculated total energy (eV per atom) = -4.61
- crystal system = orthorhombic
- theoretical density (g/cm3) = 4.83
- energy relative to the lowest polymorph listed for this composition (meV per atom) = 85
- calculated volume (Å³/f.u.) = 173.2

# 4
Material: SrLaOs3
Method: DFT, PBE
State: relaxed

```
data_SrLaOs3
_chemical_formula_sum 'Sr1 La1 Os3'
_cell_length_a 4.911
_cell_length_b 4.911
_cell_length_c 4.911
_cell_angle_alpha 90.00
_cell_angle_beta 90.00
_cell_angle_gamma 90.00
_space_group_name_H-M_alt 'P m -3 m'
_space_group_IT_number 221
_space_group_name_Hall '-P 4 2 3'
loop_
_atom_site_label
_atom_site_type_symbol
_atom_site_fract_x
_atom_site_fract_y
_atom_site_fract_z
Sr1 Sr 0.000 0.000 0.000
La1 La 0.500 0.500 0.500
Os1 Os 0.000 0.000 0.500
```

- total magnetization (μB per cell) = 0.000
- DOS(E_F) (states/eV/atom) = 0.87
- calculated total energy (eV per atom) = -5.57
- crystal system = cubic
- theoretical density (g/cm3) = 11.18
- energy relative to the lowest polymorph listed for this composition (meV per atom) = 459
- calculated volume (Å³/f.u.) = 118.4

# 5
Material: Sr2LaOs
Method: DFT, PBE
State: relaxed

```
data_Sr2LaOs
_chemical_formula_sum 'Sr4 La2 Os2'
_cell_length_a 3.599
_cell_length_b 4.734
_cell_length_c 17.145
_cell_angle_alpha 90.00
_cell_angle_beta 90.00
_cell_angle_gamma 90.00
_space_group_name_H-M_alt 'I m m m'
_space_group_IT_number 71
_space_group_name_Hall '-I 2 2'
loop_
_atom_site_label
_atom_site_type_symbol
_atom_site_fract_x
_atom_site_fract_y
_atom_site_fract_z
Sr1 Sr 0.000 0.000 0.157
La1 La 0.000 0.500 0.000
Os1 Os 0.000 0.500 0.500
```

- total magnetization (μB per cell) = 0.000
- DOS(E_F) (states/eV/atom) = 1.03
- calculated total energy (eV per atom) = -4.66
- crystal system = orthorhombic
- theoretical density (g/cm3) = 5.73
- energy relative to the lowest polymorph listed for this composition (meV per atom) = 35
- calculated volume (Å³/f.u.) = 146.0

# 6
Material: SrLaOs2
Method: DFT, PBE
State: relaxed

```
data_SrLaOs2
_chemical_formula_sum 'Sr1 La1 Os2'
_cell_length_a 3.346
_cell_length_b 4.496
_cell_length_c 6.723
_cell_angle_alpha 90.00
_cell_angle_beta 90.00
_cell_angle_gamma 90.00
_space_group_name_H-M_alt 'P m m m'
_space_group_IT_number 47
loop_
_space_group_symop_operation_xyz
'x,y,z'
'-x,-y,-z'
'-x,-y,z'
'x,y,-z'
'x,-y,-z'
'-x,y,z'
'-x,y,-z'
'x,-y,z'
loop_
_atom_site_label
_atom_site_type_symbol
_atom_site_fract_x
_atom_site_fract_y
_atom_site_fract_z
Sr1 Sr 0.000 0.000 0.000
La1 La 0.000 0.000 0.500
Os1 Os 0.500 0.500 0.320
```

- total magnetization (μB per cell) = 0.015
- DOS(E_F) (states/eV/atom) = 1.37
- calculated total energy (eV per atom) = -6.59
- crystal system = orthorhombic
- theoretical density (g/cm3) = 9.97
- energy relative to the lowest polymorph listed for this composition (meV per atom) = 622
- calculated volume (Å³/f.u.) = 101.1

# 7
Material: SrLaOs2
Method: DFT, PBE
State: relaxed

```
data_SrLaOs2
_chemical_formula_sum 'Sr2 La2 Os4'
_cell_length_a 4.274
_cell_length_b 4.274
_cell_length_c 9.676
_cell_angle_alpha 90.00
_cell_angle_beta 90.00
_cell_angle_gamma 90.00
_space_group_name_H-M_alt 'I -4 m 2'
_space_group_IT_number 119
_space_group_name_Hall 'I -4 -2'
loop_
_atom_site_label
_atom_site_type_symbol
_atom_site_fract_x
_atom_site_fract_y
_atom_site_fract_z
Sr1 Sr 0.000 0.000 0.000
La1 La 0.000 0.500 0.750
Os1 Os 0.000 0.000 0.500
Os2 Os 0.000 0.500 0.250
```

- total magnetization (μB per cell) = 0.004
- DOS(E_F) (states/eV/atom) = 1.41
- calculated total energy (eV per atom) = -6.37
- crystal system = tetragonal
- theoretical density (g/cm3) = 11.40
- energy relative to the lowest polymorph listed for this composition (meV per atom) = 842
- calculated volume (Å³/f.u.) = 88.4

# 8
Material: SrLaOs3
Method: DFT, PBE
State: relaxed

```
data_SrLaOs3
_chemical_formula_sum 'Sr1 La1 Os3'
_cell_length_a 4.983
_cell_length_b 4.983
_cell_length_c 4.983
_cell_angle_alpha 90.00
_cell_angle_beta 90.00
_cell_angle_gamma 90.00
_space_group_name_H-M_alt 'P m -3 m'
_space_group_IT_number 221
_space_group_name_Hall '-P 4 2 3'
loop_
_atom_site_label
_atom_site_type_symbol
_atom_site_fract_x
_atom_site_fract_y
_atom_site_fract_z
Sr1 Sr 0.000 0.000 0.000
La1 La 0.500 0.500 0.500
Os1 Os 0.000 0.500 0.500
```

- total magnetization (μB per cell) = 0.237
- DOS(E_F) (states/eV/atom) = 1.40
- calculated total energy (eV per atom) = -6.03
- crystal system = cubic
- theoretical density (g/cm3) = 10.70
- energy relative to the lowest polymorph listed for this composition (meV per atom) = 0
- calculated volume (Å³/f.u.) = 123.7

# 9
Material: Sr2LaOs
Method: DFT, PBE
State: relaxed

```
data_Sr2LaOs
_chemical_formula_sum 'Sr2 La1 Os1'
_cell_length_a 4.579
_cell_length_b 4.579
_cell_length_c 5.525
_cell_angle_alpha 90.00
_cell_angle_beta 90.00
_cell_angle_gamma 90.00
_space_group_name_H-M_alt 'P 4/m m m'
_space_group_IT_number 123
_space_group_name_Hall '-P 4 2'
loop_
_atom_site_label
_atom_site_type_symbol
_atom_site_fract_x
_atom_site_fract_y
_atom_site_fract_z
Sr1 Sr 0.000 0.500 0.000
La1 La 0.000 0.000 0.500
Os1 Os 0.500 0.500 0.500
```

- total magnetization (μB per cell) = 0.000
- DOS(E_F) (states/eV/atom) = 1.33
- calculated total energy (eV per atom) = -4.31
- crystal system = tetragonal
- theoretical density (g/cm3) = 7.23
- energy relative to the lowest polymorph listed for this composition (meV per atom) = 379
- calculated volume (Å³/f.u.) = 115.9

# 10
Material: Sr4LaOs
Method: DFT, PBE
State: relaxed

```
data_Sr4LaOs
_chemical_formula_sum 'Sr16 La4 Os4'
_cell_length_a 9.535
_cell_length_b 9.535
_cell_length_c 9.535
_cell_angle_alpha 90.00
_cell_angle_beta 90.00
_cell_angle_gamma 90.00
_space_group_name_H-M_alt 'F -4 3 m'
_space_group_IT_number 216
_space_group_name_Hall 'F -4 2 3'
loop_
_atom_site_label
_atom_site_type_symbol
_atom_site_fract_x
_atom_site_fract_y
_atom_site_fract_z
Sr1 Sr 0.123 0.123 0.377
La1 La 0.000 0.000 0.000
Os1 Os 0.250 0.250 0.750
```

- total magnetization (μB per cell) = 0.486
- DOS(E_F) (states/eV/atom) = 1.48
- calculated total energy (eV per atom) = -2.62
- crystal system = cubic
- theoretical density (g/cm3) = 5.21
- calculated volume (Å³/f.u.) = 216.7

# 11
Material: Sr2LaOs
Method: DFT, PBE
State: relaxed

```
data_Sr2LaOs
_chemical_formula_sum 'Sr2 La1 Os1'
_cell_length_a 3.562
_cell_length_b 3.562
_cell_length_c 10.467
_cell_angle_alpha 90.00
_cell_angle_beta 90.00
_cell_angle_gamma 90.00
_space_group_name_H-M_alt 'P 4/m m m'
_space_group_IT_number 123
_space_group_name_Hall '-P 4 2'
loop_
_atom_site_label
_atom_site_type_symbol
_atom_site_fract_x
_atom_site_fract_y
_atom_site_fract_z
Sr1 Sr 0.000 0.000 0.174
La1 La 0.500 0.500 0.500
Os1 Os 0.500 0.500 0.000
```

- total magnetization (μB per cell) = 0.000
- DOS(E_F) (states/eV/atom) = 1.71
- calculated total energy (eV per atom) = -4.26
- crystal system = tetragonal
- theoretical density (g/cm3) = 6.31
- energy relative to the lowest polymorph listed for this composition (meV per atom) = 432
- calculated volume (Å³/f.u.) = 132.8

# 12
Material: Sr2LaOs
Method: DFT, PBE
State: relaxed

```
data_Sr2LaOs
_chemical_formula_sum 'Sr4 La2 Os2'
_cell_length_a 3.886
_cell_length_b 6.040
_cell_length_c 12.098
_cell_angle_alpha 90.00
_cell_angle_beta 90.00
_cell_angle_gamma 90.00
_space_group_name_H-M_alt 'I m m 2'
_space_group_IT_number 44
loop_
_space_group_symop_operation_xyz
'x,y,z'
'-x,-y,z'
'-x,y,z'
'x,-y,z'
'x+1/2,y+1/2,z+1/2'
'-x+1/2,-y+1/2,z+1/2'
'-x+1/2,y+1/2,z+1/2'
'x+1/2,-y+1/2,z+1/2'
loop_
_atom_site_label
_atom_site_type_symbol
_atom_site_fract_x
_atom_site_fract_y
_atom_site_fract_z
Sr1 Sr 0.000 0.000 0.000
Sr2 Sr 0.000 0.500 0.180
La1 La 0.000 0.500 0.830
Os1 Os 0.000 0.000 0.476
```

- total magnetization (μB per cell) = 0.000
- DOS(E_F) (states/eV/atom) = 0.76
- calculated total energy (eV per atom) = -4.66
- crystal system = orthorhombic
- theoretical density (g/cm3) = 5.90
- energy relative to the lowest polymorph listed for this composition (meV per atom) = 30
- calculated volume (Å³/f.u.) = 142.0

- The highest DOS(E_F) belongs to which entry?
  number 11

- Among the records above, which one has the highest calculated volume?
  Sr4LaOs

- Which of these has the highest theoretical density?
  number 7

- Among the records above, which one has the lowest calculated volume?
  number 7